CaAc2FeO6: relaxed, PBE+U.

Computed properties:
space-group type = P4mm, No. 99
E_tot = -71.23 eV for the cell shown
mass density = 7.05 g cm⁻³

a b c (Å): 4.772 5.644 5.644
angles (deg): 90.00 90.00 90.00
Fractional positions:
Ac  0.040  0.000  0.500
Fe  0.618  0.000  0.000
O  0.212  0.000  0.000
O  0.707  0.230  0.770
O  0.121  0.500  0.500
Ac  0.040  0.500  0.000
O  0.707  0.770  0.230
Ca  0.588  0.500  0.500
O  0.707  0.770  0.770
O  0.707  0.230  0.230

=====

CaAcFeO4: relaxed, PBE+U.

Computed properties:
space-group type = Imma, No. 74
E_tot = -96.05 eV for the cell shown
mass density = 5.77 g cm⁻³

a b c (Å): 6.662 6.787 6.787
angles (deg): 62.25 60.61 60.61
Fractional positions:
O  0.265  0.750  0.250
O  0.261  0.249  0.229
Ac  0.000  0.500  0.500
Ac  0.000  0.000  0.000
O  0.739  0.271  0.251
Fe  0.625  0.625  0.125
O  0.739  0.751  0.771
O  0.261  0.729  0.749
Ca  0.500  0.000  0.500
Ca  0.000  0.000  0.500
O  0.264  0.250  0.750
Fe  0.375  0.375  0.875
O  0.736  0.750  0.250
O  0.735  0.250  0.750

=====

- Among the records above, which one has the highest E_tot?
  CaAc2FeO6

=====

Repeat the first record exactly.
CaAc2FeO6: relaxed, PBE+U.

Computed properties:
space-group type = P4mm, No. 99
E_tot = -71.23 eV for the cell shown
mass density = 7.05 g cm⁻³

a b c (Å): 4.772 5.644 5.644
angles (deg): 90.00 90.00 90.00
Fractional positions:
Ac  0.040  0.000  0.500
Fe  0.618  0.000  0.000
O  0.212  0.000  0.000
O  0.707  0.230  0.770
O  0.121  0.500  0.500
Ac  0.040  0.500  0.000
O  0.707  0.770  0.230
Ca  0.588  0.500  0.500
O  0.707  0.770  0.770
O  0.707  0.230  0.230

=====

- What is the mass density in the first record?
  7.05 g cm⁻³